The following is a PBE-GGA calculation of crystalline Cr4FeW at its relaxed geometry, from the Alexandria database.

Properties
The value obtained for the volume is 12.62 Å³ per atom. The formation energy is 0.16 eV per atom.

abc: 6.715 6.715 6.715
angles: 90.00 90.00 90.00
Space group F-43m (No. 216)
Asymmetric unit:
Cr: 0.124 0.124 0.124 x16
Fe: 0.250 0.250 0.750 x4
W: 0.000 0.000 0.500 x4

***

The following is a PBE-GGA calculation of crystalline CrFeW2 at its relaxed geometry, from the Alexandria database.

Properties
The value obtained for the volume is 13.94 Å³ per atom. The formation energy is 0.15 eV per atom.

abc: 3.073 4.273 8.495
angles: 90.00 90.00 90.00
Space group Imm2 (No. 44)
Asymmetric unit:
Cr: 0.000 0.000 0.000 x2
Fe: 0.000 0.500 0.748 x2
W: 0.000 0.000 0.501 x2
W: 0.000 0.500 0.258 x2

***

The following is a PBE-GGA calculation of crystalline CrFe2W at its relaxed geometry, from the Alexandria database.

Properties
The value obtained for the volume is 12.88 Å³ per atom. The formation energy is 0.34 eV per atom.

abc: 2.6420 2.6420 25.5699
angles: 90.00 90.00 120.00
Space group R3m (No. 160, hexagonal axes)
Asymmetric unit:
Cr: 0.0000 0.0000 0.0000 x3
Fe: 0.0000 0.0000 0.2591 x3
Fe: 0.0000 0.0000 0.5137 x3
W: 0.0000 0.0000 0.7584 x3

***

The following is a PBE-GGA calculation of crystalline CrFeW at its relaxed geometry, from the Alexandria database.

Properties
The value obtained for the volume is 12.87 Å³ per atom. The formation energy is 0.27 eV per atom.

abc: 2.705 3.351 8.522
angles: 90.00 90.00 90.00
Space group Imm2 (No. 44)
Asymmetric unit:
Cr: 0.000 0.000 0.000 x2
Fe: 0.000 0.000 0.354 x2
W: 0.000 0.000 0.679 x2